# NdZrAu2

A geometry-optimized NdZrAu2 structure (PBE, Alexandria via LeMat-Bulk).

```
data_NdZrAu2
_chemical_formula_sum 'Nd1 Zr1 Au2'
_space_group_name_H-M_alt 'P 4/m m m'
_space_group_IT_number 123
_space_group_name_Hall '-P 4 2'
_cell_length_a 3.5110
_cell_length_b 3.5110
_cell_length_c 7.3926
_cell_angle_alpha 90.00
_cell_angle_beta 90.00
_cell_angle_gamma 90.00
loop_
_atom_site_label
_atom_site_fract_x
_atom_site_fract_y
_atom_site_fract_z
Nd1 0.0000 0.0000 0.0000
Zr1 0.0000 0.0000 0.5000
Au1 0.5000 0.5000 0.2861
```

Values from the calculation:
Formation energy in meV per atom: -582
Total magnetic moment in μB per atom: 0.080
Uncorrected energy in eV per atom: -5.549
D(E_F) in states/eV per cell: 4.199